(1)
This record from Alexandria via LeMat-Bulk describes a relaxed structure of Pr2Si7Rh12. The functional is PBE-GGA.

The value obtained for the size of the total moment is 0.00 μB/f.u. Its uncorrected formation energy is -0.94 eV/atom. The value obtained for the density of states at the Fermi level is 9.3 states/eV/f.u.

The structure belongs to space group P-3 (No. 147); the cell edges are 9.7969, 9.7969 and 3.8925 Å and the angles 90.00°, 90.00° and 120.00°. Symmetry generates all atoms from Pr at (0.3333, 0.6667, 0.2495), Si at (0.0000, 0.0000, 0.0000), Si at (0.1068, 0.7101, 0.7492), Rh at (0.0614, 0.4420, 0.7482) and Rh at (0.1191, 0.2607, 0.2449).

(2)
This record from Alexandria via LeMat-Bulk describes a relaxed structure of TaTcSeN2. The functional is PBE-GGA.

As for the energy relative to the lowest polymorph listed for this composition: 0.0 kJ per mole of atoms. The value obtained for the size of the total moment is 3.92 μB/f.u. Its uncorrected formation energy is 0.62 eV/atom. The value obtained for the density of states at the Fermi level is 2.8 states/eV/f.u.

The structure belongs to space group P4/mmm (No. 123); the cell edges are 3.991, 3.991 and 5.413 Å and the angles 90.00°, 90.00° and 90.00°. Symmetry generates all atoms from Ta at (0.000, 0.000, 0.000), Tc at (0.500, 0.500, 0.500), Se at (0.000, 0.000, 0.500) and N at (0.000, 0.500, 0.000).

(3)
This record from Alexandria via LeMat-Bulk describes a relaxed structure of PS3Cl. The functional is PBE-GGA.

As for the energy relative to the lowest polymorph listed for this composition: 32.7 kJ per mole of atoms. The value obtained for the size of the total moment is 0.00 μB/f.u. Its uncorrected formation energy is 0.09 eV/atom. The value obtained for the density of states at the Fermi level is 0.8 states/eV/f.u.

The structure belongs to space group P1 (No. 1); the cell edges are 5.474, 7.388 and 7.548 Å and the angles 89.86°, 89.98° and 78.82°. Symmetry generates all atoms from P at (0.000, 0.000, 0.000), P at (0.497, 0.561, 0.079), S at (0.299, 0.458, 0.885), S at (0.401, 0.844, 0.131), S at (0.610, 0.399, 0.286), S at (0.670, 0.512, 0.834), S at (0.871, 0.818, 0.162), S at (0.928, 0.898, 0.752), Cl at (0.030, 0.093, 0.587) and Cl at (0.103, 0.393, 0.297).

(4)
This record from Alexandria via LeMat-Bulk describes a relaxed structure of Ca2AlZn5. The functional is PBE-GGA.

The formation energy comes out at -22.8 kJ per mole of atoms. The value obtained for the size of the total moment is 0.00 μB/f.u. The value obtained for the density of states at the Fermi level is 4.2 states/eV/f.u.

The structure belongs to space group Cmcm (No. 63); the cell edges are 4.434, 16.213 and 9.074 Å and the angles 90.00°, 90.00° and 90.00°. Symmetry generates all atoms from Ca at (0.000, 0.000, 0.000), Ca at (0.000, 0.202, 0.250), Al at (0.000, 0.443, 0.750), Zn at (0.000, 0.186, 0.608), Zn at (0.000, 0.349, 0.520) and Zn at (0.000, 0.399, 0.250).

Q: size of the total moment of number 2 (TaTcSeN2)?
A: 3.92 μB/f.u.

Q: Among the records above, which one has the highest size of the total moment?
A: TaTcSeN2